i | ! PBE MgZn2Se3, optimized geometry; values from VASP
! Magnetic moment (μB per formula unit): 0.00
! Calculated volume (Å³ per cell): 278
&SYSTEM
  ibrav = 0, nat = 12, ntyp = 3
/
ATOMIC_SPECIES
Mg 24.30 Mg.upf
Se 78.96 Se.upf
Zn 65.41 Zn.upf
CELL_PARAMETERS angstrom
-2.4496 -4.3297 -5.5618
2.5818 -3.0988 6.2808
-5.3152 0.1228 2.2454
ATOMIC_POSITIONS crystal
Mg 0.0000 0.0000 0.5000
Se 0.1765 0.8237 0.2500
Zn 0.3333 0.6666 0.5312
Mg 0.0000 0.0000 0.0000
Se 0.8236 0.6472 0.7500
Zn 0.6667 0.3334 0.4688
Zn 0.6667 0.3334 0.0312
Se 0.6472 0.8237 0.2500
Zn 0.3333 0.6666 0.9688
Se 0.3528 0.1763 0.7500
Se 0.8235 0.1763 0.7500
Se 0.1764 0.3528 0.2500

ii | ! PBE MgZn2Se3, optimized geometry; values from VASP
! Magnetic moment (μB per formula unit): 0.00
! Calculated volume (Å³ per cell): 142
&SYSTEM
  ibrav = 0, nat = 6, ntyp = 3
/
ATOMIC_SPECIES
Mg 24.30 Mg.upf
Se 78.96 Se.upf
Zn 65.41 Zn.upf
CELL_PARAMETERS angstrom
-2.2096 3.1715 -3.5171
-2.0067 -4.3167 -2.1564
-3.9298 0.5125 3.4065
ATOMIC_POSITIONS crystal
Mg 0.5000 0.5000 0.5000
Se 0.5000 0.5000 0.0000
Se 0.0000 0.5000 0.5000
Se 0.5000 0.0000 0.5000
Zn 0.1451 0.1451 0.1451
Zn 0.8549 0.8549 0.8549

Stability check: which of them is most stable? i.

i | ! PBE Mg3ZnSe2, optimized geometry; values from VASP
! Magnetic moment (μB per formula unit): 0.00
! Calculated volume (Å³ per cell): 269
&SYSTEM
  ibrav = 0, nat = 12, ntyp = 3
/
ATOMIC_SPECIES
Se 78.96 Se.upf
Mg 24.30 Mg.upf
Zn 65.41 Zn.upf
CELL_PARAMETERS angstrom
6.1715 -0.0006 0.0000
1.2870 6.0358 0.0000
0.0000 0.0000 7.2214
ATOMIC_POSITIONS crystal
Se 0.2059 0.2059 0.5000
Mg 0.5585 0.1015 0.7500
Mg 0.9107 0.0893 0.2500
Zn 0.5654 0.4346 0.2500
Se 0.2059 0.2059 0.0000
Zn 0.4346 0.5654 0.7500
Mg 0.8985 0.4415 0.7500
Mg 0.0893 0.9107 0.7500
Se 0.7941 0.7941 0.5000
Mg 0.4415 0.8985 0.2500
Mg 0.1015 0.5585 0.2500
Se 0.7941 0.7941 0.0000

ii | ! PBE Mg3ZnSe2, optimized geometry; values from VASP
! Magnetic moment (μB per formula unit): 0.00
! Calculated volume (Å³ per cell): 296
&SYSTEM
  ibrav = 0, nat = 12, ntyp = 3
/
ATOMIC_SPECIES
Mg 24.30 Mg.upf
Se 78.96 Se.upf
Zn 65.41 Zn.upf
CELL_PARAMETERS angstrom
-6.5617 -0.5622 0.3405
3.4149 -3.7346 -4.2174
0.7619 -5.5448 5.5270
ATOMIC_POSITIONS crystal
Mg 0.6570 0.8286 0.2500
Se 0.3333 0.6666 0.0099
Mg 0.3430 0.1714 0.7500
Mg 0.1714 0.3429 0.2500
Zn 0.0000 0.0000 0.5000
Mg 0.8286 0.6571 0.7500
Mg 0.1716 0.8286 0.2500
Mg 0.8284 0.1714 0.7500
Zn 0.0000 0.0000 0.0000
Se 0.6667 0.3334 0.5099
Se 0.3333 0.6666 0.4901
Se 0.6667 0.3334 0.9901

iii | ! PBE Mg3ZnSe2, optimized geometry; values from VASP
! Magnetic moment (μB per formula unit): 0.00
! Calculated volume (Å³ per cell): 263
&SYSTEM
  ibrav = 0, nat = 12, ntyp = 3
/
ATOMIC_SPECIES
Mg 24.30 Mg.upf
Se 78.96 Se.upf
Zn 65.41 Zn.upf
CELL_PARAMETERS angstrom
3.8231 0.0000 0.0000
-1.9116 3.3109 0.0000
0.0000 0.0000 20.7482
ATOMIC_POSITIONS crystal
Mg 0.3333 0.6667 0.6553
Mg 0.6667 0.3333 0.1553
Mg 0.0000 0.0000 0.5000
Mg 0.6667 0.3333 0.3447
Se 0.6667 0.3333 0.9223
Se 0.3333 0.6667 0.0777
Zn 0.0000 0.0000 0.2500
Zn 0.0000 0.0000 0.7500
Mg 0.3333 0.6667 0.8447
Se 0.6667 0.3333 0.5777
Mg 0.0000 0.0000 0.0000
Se 0.3333 0.6667 0.4223

Stability check: which of them is most stable? iii.

i | ! PBE MgZn8Se4, optimized geometry; values from VASP
! Magnetic moment (μB per formula unit): 0.00
! Calculated volume (Å³ per cell): 266
&SYSTEM
  ibrav = 0, nat = 13, ntyp = 3
/
ATOMIC_SPECIES
Zn 65.41 Zn.upf
Se 78.96 Se.upf
Mg 24.30 Mg.upf
CELL_PARAMETERS angstrom
8.3367 -1.9008 -0.4747
-8.3443 5.8002 0.4406
-0.5237 -1.8724 8.2204
ATOMIC_POSITIONS crystal
Zn 0.5966 0.1965 0.9898
Zn 0.7851 0.0484 0.3590
Zn 0.4034 0.8035 0.0102
Zn 0.6746 0.1081 0.6518
Zn 0.2356 0.2786 0.5951
Zn 0.3254 0.8919 0.3482
Se 0.4873 0.7442 0.7507
Se 0.6608 0.5013 0.8438
Zn 0.2149 0.9516 0.6410
Zn 0.7644 0.7214 0.4049
Se 0.5127 0.2558 0.2493
Mg 0.0000 0.0000 0.0000
Se 0.3392 0.4987 0.1562

ii | ! PBE MgZn8Se4, optimized geometry; values from VASP
! Magnetic moment (μB per formula unit): 0.00
! Calculated volume (Å³ per cell): 258
&SYSTEM
  ibrav = 0, nat = 13, ntyp = 3
/
ATOMIC_SPECIES
Zn 65.41 Zn.upf
Se 78.96 Se.upf
Mg 24.30 Mg.upf
CELL_PARAMETERS angstrom
-1.2949 -0.4309 6.8148
6.7199 -0.9384 -1.5053
-1.7994 6.3690 -2.1218
ATOMIC_POSITIONS crystal
Zn 0.0000 0.6566 0.6566
Se 0.0000 0.0000 0.5000
Zn 0.5000 0.2797 0.7797
Zn 0.2797 0.5000 0.7797
Zn 0.3434 0.0000 0.3434
Zn 0.6566 0.0000 0.6566
Se 0.5000 0.0000 0.0000
Se 0.0000 0.5000 0.0000
Zn 0.0000 0.3434 0.3434
Zn 0.7203 0.5000 0.2203
Se 0.5000 0.5000 0.5000
Zn 0.5000 0.7203 0.2203
Mg 0.0000 0.0000 0.0000

Stability check: which of them is most stable? i.

i | ! PBE MgZn6Se6, optimized geometry; values from VASP
! Magnetic moment (μB per formula unit): 0.00
! Calculated volume (Å³ per cell): 275
&SYSTEM
  ibrav = 0, nat = 13, ntyp = 3
/
ATOMIC_SPECIES
Zn 65.41 Zn.upf
Se 78.96 Se.upf
Mg 24.30 Mg.upf
CELL_PARAMETERS angstrom
-0.1083 5.7098 2.8485
-2.6688 -0.7493 -5.7484
-6.7776 -1.8165 3.3834
ATOMIC_POSITIONS crystal
Zn 0.5000 0.5000 0.7408
Se 0.3333 0.6667 0.0000
Zn 0.5000 0.0000 0.2592
Se 0.0000 0.0000 0.3014
Zn 0.5000 0.5000 0.2592
Se 0.0000 0.0000 0.6986
Zn 0.5000 0.0000 0.7408
Zn 0.0000 0.5000 0.7408
Se 0.6667 0.3333 0.5000
Se 0.6667 0.3333 0.0000
Mg 0.0000 0.0000 0.0000
Zn 0.0000 0.5000 0.2592
Se 0.3333 0.6667 0.5000

ii | ! PBE MgZn6Se6, optimized geometry; values from VASP
! Magnetic moment (μB per formula unit): 0.00
! Calculated volume (Å³ per cell): 277
&SYSTEM
  ibrav = 0, nat = 13, ntyp = 3
/
ATOMIC_SPECIES
Zn 65.41 Zn.upf
Se 78.96 Se.upf
Mg 24.30 Mg.upf
CELL_PARAMETERS angstrom
-5.0482 -1.5974 5.3556
-0.4851 -0.9666 -6.0408
3.0833 -6.8818 0.8536
ATOMIC_POSITIONS crystal
Zn 0.3311 0.6622 0.0000
Se 0.0000 0.5000 0.2384
Mg 0.0000 0.0000 0.0000
Se 0.5000 0.5000 0.2384
Se 0.0000 0.5000 0.7616
Zn 0.6689 0.3378 0.0000
Zn 0.2718 0.5435 0.5000
Zn 0.0000 0.0000 0.3399
Zn 0.7282 0.4565 0.5000
Se 0.5000 0.5000 0.7616
Se 0.5000 0.0000 0.2747
Zn 0.0000 0.0000 0.6601
Se 0.5000 0.0000 0.7253

Stability check: which of them is most stable? i.

i | ! PBE Mg8Zn4Se, optimized geometry; values from VASP
! Magnetic moment (μB per formula unit): 0.00
! Calculated volume (Å³ per cell): 268
&SYSTEM
  ibrav = 0, nat = 13, ntyp = 3
/
ATOMIC_SPECIES
Mg 24.30 Mg.upf
Zn 65.41 Zn.upf
Se 78.96 Se.upf
CELL_PARAMETERS angstrom
8.1672 -0.0977 0.7598
-7.0493 4.1714 -0.7494
0.2387 -2.2403 8.1167
ATOMIC_POSITIONS crystal
Mg 0.2305 0.8706 0.0992
Zn 0.4363 0.6816 0.1150
Mg 0.1502 0.1827 0.3330
Zn 0.7611 0.5544 0.3142
Mg 0.9283 0.3691 0.2974
Mg 0.0717 0.6309 0.7026
Mg 0.6008 0.8975 0.4995
Mg 0.7695 0.1294 0.9008
Mg 0.8498 0.8173 0.6670
Zn 0.5637 0.3184 0.8850
Se 0.0000 0.0000 0.0000
Mg 0.3992 0.1025 0.5005
Zn 0.2389 0.4456 0.6858

ii | ! PBE Mg8Zn4Se, optimized geometry; values from VASP
! Magnetic moment (μB per formula unit): 0.00
! Calculated volume (Å³ per cell): 285
&SYSTEM
  ibrav = 0, nat = 13, ntyp = 3
/
ATOMIC_SPECIES
Mg 24.30 Mg.upf
Zn 65.41 Zn.upf
Se 78.96 Se.upf
CELL_PARAMETERS angstrom
7.4388 0.0067 0.0000
-4.8167 5.6687 0.0000
-1.3110 -2.8377 6.7501
ATOMIC_POSITIONS crystal
Mg 0.7382 0.5000 0.2382
Mg 0.5000 0.7382 0.2382
Mg 0.2618 0.5000 0.7618
Mg 0.7185 0.0000 0.7185
Mg 0.0000 0.2815 0.2815
Mg 0.2815 0.0000 0.2815
Zn 0.5000 0.0000 0.0000
Zn 0.0000 0.0000 0.5000
Mg 0.5000 0.2618 0.7618
Zn 0.5000 0.5000 0.5000
Se 0.0000 0.0000 0.0000
Mg 0.0000 0.7185 0.7185
Zn 0.0000 0.5000 0.0000

Stability check: which of them is most stable? i.

i | ! PBE Mg2ZnSe4, optimized geometry; values from VASP
! Magnetic moment (μB per formula unit): 0.00
! Calculated volume (Å³ per cell): 178
&SYSTEM
  ibrav = 0, nat = 7, ntyp = 3
/
ATOMIC_SPECIES
Se 78.96 Se.upf
Mg 24.30 Mg.upf
Zn 65.41 Zn.upf
CELL_PARAMETERS angstrom
-2.4483 2.4483 7.4035
2.4483 -2.4483 7.4035
2.4483 2.4483 -7.4035
ATOMIC_POSITIONS crystal
Se 0.5000 0.0000 0.5000
Mg 0.6007 0.6007 0.0000
Se 0.7670 0.7670 0.0000
Se 0.2330 0.2330 0.0000
Zn 0.0000 0.0000 0.0000
Se 0.0000 0.5000 0.5000
Mg 0.3993 0.3993 0.0000

ii | ! PBE Mg2ZnSe4, optimized geometry; values from VASP
! Magnetic moment (μB per formula unit): 0.00
! Calculated volume (Å³ per cell): 212
&SYSTEM
  ibrav = 0, nat = 7, ntyp = 3
/
ATOMIC_SPECIES
Mg 24.30 Mg.upf
Zn 65.41 Zn.upf
Se 78.96 Se.upf
CELL_PARAMETERS angstrom
-3.7156 3.7156 3.8472
3.7156 -3.7156 3.8472
3.7156 3.7156 -3.8472
ATOMIC_POSITIONS crystal
Mg 0.7500 0.2500 0.5000
Zn 0.0000 0.0000 0.0000
Se 0.2363 0.5000 0.7363
Se 0.5000 0.7637 0.2637
Se 0.5000 0.2363 0.7363
Se 0.7637 0.5000 0.2637
Mg 0.2500 0.7500 0.5000

Stability check: which of them is most stable? i.